# TiReGe, optimized geometry, DFT PBE-GGA
# Total moment in μB/cell: 0.00
# Energy in eV/f.u.: -26.3
# DFT formation energy in eV per atom: -0.460
# Density of states at the Fermi level in states/eV per cell: 3.83
# Calculated volume in Å³/cell: 137
data_TiReGe
_chemical_formula_sum 'Ti3 Re3 Ge3'
_cell_length_a 6.9559
_cell_length_b 6.9559
_cell_length_c 3.2787
_cell_angle_alpha 90.00
_cell_angle_beta 90.00
_cell_angle_gamma 120.00
_space_group_name_H-M_alt 'P -6 2 m'
_space_group_IT_number 189
_space_group_name_Hall 'P -6 -2'
loop_
_atom_site_label
_atom_site_fract_x
_atom_site_fract_y
_atom_site_fract_z
Ti1 0.0000 0.5988 0.0000
Re1 0.0000 0.2661 0.5000
Ge1 0.0000 0.0000 0.0000
Ge2 0.3333 0.6667 0.5000

# Ti8ReGe2, optimized geometry, DFT PBE-GGA
# Total moment in μB/cell: 0.00
# Energy in eV/f.u.: -88.3
# DFT formation energy in eV per atom: -0.316
# Density of states at the Fermi level in states/eV per cell: 23.39
# Calculated volume in Å³/cell: 366
data_Ti8ReGe2
_chemical_formula_sum 'Ti16 Re2 Ge4'
_cell_length_a 14.6430
_cell_length_b 4.0607
_cell_length_c 6.7400
_cell_angle_alpha 90.00
_cell_angle_beta 113.88
_cell_angle_gamma 90.00
_space_group_name_H-M_alt 'C 1 2/m 1'
_space_group_IT_number 12
_space_group_name_Hall '-C 2y'
loop_
_atom_site_label
_atom_site_fract_x
_atom_site_fract_y
_atom_site_fract_z
Ti1 0.0329 0.0000 0.3019
Ti2 0.0852 0.5000 0.9473
Ti3 0.1724 0.5000 0.4229
Ti4 0.1786 0.0000 0.7675
Re1 0.0000 0.5000 0.5000
Ge1 0.1907 0.0000 0.1705

# Ti3ReGe, optimized geometry, DFT PBE-GGA
# Total moment in μB/cell: 0.00
# Energy in eV/f.u.: -36.5
# DFT formation energy in eV per atom: 0.845
# Density of states at the Fermi level in states/eV per cell: 6.62
# Calculated volume in Å³/cell: 96
data_Ti3ReGe
_chemical_formula_sum 'Ti3 Re1 Ge1'
_cell_length_a 4.5765
_cell_length_b 4.5765
_cell_length_c 4.5765
_cell_angle_alpha 90.00
_cell_angle_beta 90.00
_cell_angle_gamma 90.00
_space_group_name_H-M_alt 'P m -3 m'
_space_group_IT_number 221
_space_group_name_Hall '-P 4 2 3'
loop_
_atom_site_label
_atom_site_fract_x
_atom_site_fract_y
_atom_site_fract_z
Ti1 0.0000 0.0000 0.5000
Re1 0.5000 0.5000 0.5000
Ge1 0.0000 0.0000 0.0000

# TiReGe, optimized geometry, DFT PBE-GGA
# Total moment in μB/cell: 0.00
# Energy in eV/f.u.: -25.5
# DFT formation energy in eV per atom: -0.193
# Density of states at the Fermi level in states/eV per cell: 8.00
# Calculated volume in Å³/cell: 191
data_TiReGe
_chemical_formula_sum 'Ti4 Re4 Ge4'
_cell_length_a 4.9152
_cell_length_b 12.6984
_cell_length_c 3.0657
_cell_angle_alpha 90.00
_cell_angle_beta 90.00
_cell_angle_gamma 90.00
_space_group_name_H-M_alt 'C m m m'
_space_group_IT_number 65
_space_group_name_Hall '-C 2 2'
loop_
_atom_site_label
_atom_site_fract_x
_atom_site_fract_y
_atom_site_fract_z
Ti1 0.0000 0.1606 0.0000
Re1 0.0000 0.3241 0.5000
Ge1 0.2483 0.0000 0.5000